Below is a geometry-optimized CoGe2OsO6 structure, with properties calculated at the GGA+U level.

```
data_CoGe2OsO6
_chemical_formula_sum 'Co3 Ge6 Os3 O18'
_space_group_name_H-M_alt 'R -3'
_space_group_IT_number 148
_space_group_name_Hall '-R 3'
_cell_length_a 5.3256
_cell_length_b 5.3256
_cell_length_c 13.3401
_cell_angle_alpha 90.00
_cell_angle_beta 90.00
_cell_angle_gamma 120.00
loop_
_atom_site_label
_atom_site_fract_x
_atom_site_fract_y
_atom_site_fract_z
Co1 0.0000 0.0000 0.0000
Ge1 0.0000 0.0000 0.1980
Os1 0.0000 0.0000 0.5000
O1 0.0014 0.6706 0.4233
```

Computed properties:
Electronic total energy in Ry per atom: -0.479